(1)
CsTlPd2 (PBE, optimized geometry); energy above the lowest structure with this stoichiometry = 0 meV/atom; SG = No. 166; ΔH_f (0 K) = -0.18 eV/atom
1.0
2.401 1.386 6.390
-2.401 1.386 6.390
0.000 -2.772 6.390
Cs Tl Pd
1 1 2
direct
0.000 0.000 0.000
0.500 0.500 0.500
0.177 0.177 0.177
0.823 0.823 0.823


(2)
Cs2Tl9Pd3 (PBE, optimized geometry); SG = No. 15; ΔH_f (0 K) = -0.08 eV/atom
1.0
6.690 -4.015 0.000
6.690 4.015 0.000
-4.575 0.000 16.313
Cs Tl Pd
4 18 6
direct
0.198 0.203 0.250
0.203 0.198 0.750
0.797 0.802 0.250
0.802 0.797 0.750
0.066 0.084 0.435
0.084 0.066 0.935
0.201 0.387 0.566
0.269 0.549 0.930
0.295 0.635 0.149
0.320 0.680 0.750
0.365 0.705 0.351
0.387 0.201 0.066
0.451 0.731 0.570
0.549 0.269 0.430
0.613 0.799 0.934
0.635 0.295 0.649
0.680 0.320 0.250
0.705 0.365 0.851
0.731 0.451 0.070
0.799 0.613 0.434
0.916 0.934 0.065
0.934 0.916 0.565
0.000 0.500 0.000
0.175 0.620 0.451
0.380 0.825 0.049
0.500 0.000 0.500
0.620 0.175 0.951
0.825 0.380 0.549


(3)
CsTl2Pd2 (PBE, optimized geometry); energy above the lowest structure with this stoichiometry = 142 meV/atom; SG = No. 127; ΔH_f (0 K) = -0.02 eV/atom
1.0
8.755 0.000 0.000
0.000 8.755 0.000
0.000 0.000 3.274
Cs Tl Pd
2 4 4
direct
0.000 0.000 0.000
0.500 0.500 0.000
0.129 0.371 0.500
0.371 0.871 0.500
0.629 0.129 0.500
0.871 0.629 0.500
0.160 0.660 0.000
0.340 0.160 0.000
0.660 0.840 0.000
0.840 0.340 0.000


(4)
CsTl7Pd2 (PBE, optimized geometry); SG = No. 65; ΔH_f (0 K) = -0.01 eV/atom
1.0
4.871 -6.515 0.000
4.871 6.515 0.000
0.000 0.000 5.396
Cs Tl Pd
1 7 2
direct
0.000 0.000 0.000
0.083 0.346 0.500
0.307 0.693 0.000
0.346 0.083 0.500
0.500 0.500 0.500
0.654 0.917 0.500
0.693 0.307 0.000
0.917 0.654 0.500
0.281 0.719 0.500
0.719 0.281 0.500


(5)
Cs3Tl4Pd4 (PBE, optimized geometry); SG = No. 217; ΔH_f (0 K) = -0.13 eV/atom
1.0
-4.374 4.374 4.374
4.374 -4.374 4.374
4.374 4.374 -4.374
Cs Tl Pd
3 4 4
direct
0.000 0.500 0.500
0.500 0.000 0.500
0.500 0.500 0.000
0.000 0.000 0.395
0.000 0.395 0.000
0.395 0.000 0.000
0.605 0.605 0.605
0.000 0.000 0.765
0.000 0.765 0.000
0.235 0.235 0.235
0.765 0.000 0.000


(6)
Cs2Tl4Pd5 (PBE, optimized geometry); SG = No. 69; ΔH_f (0 K) = -0.12 eV/atom
1.0
0.000 5.582 8.428
3.136 0.000 8.428
3.136 5.582 0.000
Cs Tl Pd
2 4 5
direct
0.128 0.128 0.872
0.872 0.872 0.128
0.210 0.535 0.465
0.465 0.790 0.210
0.535 0.210 0.790
0.790 0.465 0.535
0.000 0.000 0.500
0.250 0.250 0.250
0.500 0.500 0.000
0.500 0.500 0.500
0.750 0.750 0.750


(7)
Cs2Tl6Pd (PBE, optimized geometry); SG = No. 12; ΔH_f (0 K) = -0.08 eV/atom
1.0
6.452 -4.109 0.000
6.452 4.109 0.000
-0.579 0.000 5.981
Cs Tl Pd
2 6 1
direct
0.127 0.127 0.209
0.873 0.873 0.791
0.203 0.600 0.312
0.308 0.308 0.740
0.400 0.797 0.688
0.600 0.203 0.312
0.692 0.692 0.260
0.797 0.400 0.688
0.500 0.500 0.000


(8)
CsTl3Pd3 (PBE, optimized geometry); energy above the lowest structure with this stoichiometry = 0 meV/atom; SG = No. 148; ΔH_f (0 K) = -0.14 eV/atom
1.0
3.760 2.171 9.076
-3.760 2.171 9.076
0.000 -4.341 9.076
Cs Tl Pd
2 6 6
direct
0.158 0.158 0.158
0.842 0.842 0.842
0.068 0.473 0.630
0.370 0.932 0.527
0.473 0.630 0.068
0.527 0.370 0.932
0.630 0.068 0.473
0.932 0.527 0.370
0.036 0.824 0.265
0.176 0.735 0.964
0.265 0.036 0.824
0.735 0.964 0.176
0.824 0.265 0.036
0.964 0.176 0.735